Entry 1:
DFT (PBE-GGA) results for an optimized crystal structure of Ac2PrSe4.

Output
- Energy relative to the elements, uncorrected: -1.89 eV per atom
- Space-group type: Cmcm
- Energy relative to the lowest polymorph listed for this composition: 13 meV/atom

```
Ac2PrSe4
1.0
-3.216 1.736 -2.134
4.436 -3.435 -5.281
-7.659 -12.278 1.553
Se Ac Pr
8 4 2
Direct
0.780 0.560 0.375
0.780 0.560 0.125
0.018 0.035 0.250
0.220 0.440 0.625
0.500 0.000 0.500
0.982 0.965 0.750
0.500 0.000 0.000
0.220 0.440 0.875
0.131 0.262 0.426
0.131 0.262 0.074
0.869 0.738 0.926
0.869 0.738 0.574
0.628 0.255 0.750
0.372 0.745 0.250
```

=====

Entry 2:
DFT (PBE-GGA) results for an optimized crystal structure of LaGa4Pd2Au.

Output
- Energy of formation: -0.55 eV/atom
- Space-group type: R-3m

```
LaGa4Pd2Au
1.0
4.354 0.000 0.000
2.177 3.770 0.000
2.177 1.257 9.250
Ga Pd Au La
4 2 1 1
Direct
0.876 0.876 0.373
0.400 0.400 0.800
0.600 0.600 0.200
0.124 0.124 0.627
0.758 0.758 0.725
0.242 0.242 0.275
0.500 0.500 0.500
0.000 0.000 0.000
```

=====

Entry 3:
DFT (PBE-GGA) results for an optimized crystal structure of AgTeHSe2.

Output
- Space-group type: P4/mmm

```
AgTeHSe2
1.0
5.203 0.000 0.000
0.000 3.639 0.000
0.000 0.000 5.203
H Te Ag Se
1 1 1 2
Direct
0.000 0.500 0.000
0.500 0.500 0.500
0.000 0.000 0.000
0.000 0.000 0.500
0.500 0.000 0.000
```

=====

Calculated values (eV per atom) of raw total energy for the records, taken in order: -5.7338; -4.3922; -2.9491.